# 1
Nd2Ho3Er3 | PBE | relaxed

Cell: 6.3777 6.3777 6.3777 Å, 90.03 90.03 89.97°
Positions (direct):
Nd  0.2507  0.2507  0.7493
Er  0.5000  0.2508  0.2508
Ho  0.0000  0.2507  0.2507
Ho  0.7493  0.0000  0.7493
Er  0.2508  0.7492  0.5000
Er  0.7492  0.5000  0.7492
Nd  0.7493  0.7493  0.2507
Ho  0.2507  0.7493  0.0000

Results
Symmetry: R32
E above lowest polymorph: 210 meV/atom
Formation energy from the elements: 0.23 eV per atom
Crystal system: trigonal

# 2
SmH3Pd | PBE | relaxed

Cell: 3.7507 3.7507 3.7507 Å, 90.00 90.00 90.00°
Positions (direct):
H  0.0000  0.5000  0.0000
Sm  0.5000  0.5000  0.5000
H  0.0000  0.0000  0.5000
H  0.5000  0.0000  0.0000
Pd  0.0000  0.0000  0.0000

Results
Symmetry: Pm-3m
Crystal system: cubic

# 3
K3Tb3ZrTe8 | PBE | relaxed

Cell: 8.8015 8.7993 9.8536 Å, 116.51 90.00 120.01°
Positions (direct):
Te  0.2272  0.4544  0.7019
Tb  0.5000  0.5000  0.5000
K  0.5000  0.5000  0.0000
K  0.0000  0.5000  0.0000
Te  0.7367  0.4734  0.7100
Te  0.7728  0.5456  0.2981
Te  0.7476  0.9747  0.7018
Te  0.2272  0.9747  0.7018
K  0.0000  0.0000  0.0000
Te  0.2524  0.0253  0.2982
Te  0.7728  0.0253  0.2982
Zr  0.0000  0.0000  0.5000
Tb  0.5000  0.0000  0.5000
Te  0.2633  0.5266  0.2900
Tb  0.0000  0.5000  0.5000

Results
Uncorrected formation energy: -1281 meV/atom
Symmetry: R-3m
Crystal system: trigonal

# 4
K12CdHg6 | PBE | relaxed

Cell: 10.5006 10.5006 10.5006 Å, 109.47 109.47 109.47°
Positions (direct):
Hg  0.3769  0.5000  0.8769
K  0.1830  0.7108  0.8938
Cd  0.0000  0.0000  0.0000
K  0.1062  0.8170  0.2892
K  0.7108  0.5278  0.8170
Hg  0.5000  0.1231  0.6231
K  0.2892  0.1062  0.8170
K  0.7108  0.8938  0.1830
K  0.8170  0.2892  0.1062
K  0.2892  0.4722  0.1830
Hg  0.5000  0.8769  0.3769
K  0.8938  0.1830  0.7108
K  0.5278  0.8170  0.7108
K  0.1830  0.2892  0.4722
Hg  0.1231  0.6231  0.5000
Hg  0.8769  0.3769  0.5000
K  0.4722  0.1830  0.2892
K  0.8170  0.7108  0.5278
Hg  0.6231  0.5000  0.1231

Results
Symmetry: Im-3
Formation energy from the elements: -0.15 eV per atom
Crystal system: cubic

# 5
MnHg2Te | PBE | relaxed

Cell: 3.8838 3.8838 8.3834 Å, 90.00 90.00 90.00°
Positions (direct):
Hg  0.0000  0.0000  0.9993
Hg  0.5000  0.5000  0.2098
Mn  0.0000  0.0000  0.6674
Te  0.5000  0.5000  0.6235

Results
Uncorrected formation energy: 94 meV/atom
Symmetry: P4mm
Crystal system: tetragonal

# 6
InSb2Se | PBE | relaxed

Cell: 6.3628 4.1696 9.2580 Å, 90.00 106.77 90.00°
Positions (direct):
Sb  0.5418  0.7500  0.1149
Sb  0.0876  0.7500  0.1230
In  0.8585  0.7500  0.6197
Se  0.2819  0.7500  0.5819
In  0.1415  0.2500  0.3803
Sb  0.9124  0.2500  0.8770
Se  0.7181  0.2500  0.4181
Sb  0.4582  0.2500  0.8851

Results
Uncorrected formation energy: -179 meV/atom
Symmetry: P2_1/m
E above lowest polymorph: 18 meV/atom
Crystal system: monoclinic

Number 1: DFT total energy -35.1 eV per cell, magnetization 0.000 μB/atom. Number 2: DFT total energy -22.4 eV per cell, magnetization 0.000 μB/atom. Number 3: DFT total energy -70.1 eV per cell, magnetization 0.000 μB/atom. Number 4: DFT total energy -18.7 eV per cell, magnetization 0.000 μB/atom. Number 5: DFT total energy -12.5 eV per cell, magnetization 1.167 μB/atom. Number 6: DFT total energy -30.4 eV per cell, magnetization 0.000 μB/atom.